Compound: Pa4Ga3Os
Source: Alexandria via LeMat-Bulk
Functional: PBE
Structure: relaxed

abc: 4.1263 4.0537 10.7424
angles: 90.00 90.00 90.00
Element x y z (fractional)
Ga 0.5000 0.0000 0.9244
Ga 0.0000 0.0000 0.4221
Ga 0.0000 0.5000 0.5749
Pa 0.0000 0.0000 0.1354
Os 0.5000 0.5000 0.0923
Pa 0.0000 0.5000 0.8547
Pa 0.5000 0.5000 0.3485
Pa 0.5000 0.0000 0.6477

Calculated formation energy: -216 meV/atom
D(E_F): 15.50 states/eV/f.u.
SG: Pmm2, No. 25
Crystal system: orthorhombic

=====

Compound: PaGaOs
Source: Alexandria via LeMat-Bulk
Functional: PBE
Structure: relaxed

abc: 4.2583 5.3244 5.5790
angles: 90.00 90.00 113.57
Element x y z (fractional)
Ga 0.5000 0.0000 0.0000
Os 0.1039 0.2077 0.2500
Ga 0.5000 0.0000 0.5000
Pa 0.7981 0.5961 0.2500
Os 0.8961 0.7923 0.7500
Pa 0.2019 0.4039 0.7500

Calculated formation energy: -417 meV/atom
D(E_F): 2.72 states/eV/f.u.
SG: Cmcm, No. 63
Crystal system: orthorhombic

=====

Compound: Pa3GaOs
Source: Alexandria via LeMat-Bulk
Functional: PBE
Structure: relaxed

abc: 5.2915 6.2367 8.4438
angles: 107.37 90.00 115.10
Element x y z (fractional)
Pa 0.3708 0.7416 0.0563
Pa 0.1422 0.2843 0.3002
Ga 0.4118 0.8236 0.5749
Os 0.1084 0.2168 0.9461
Pa 0.8684 0.7368 0.3734
Pa 0.8578 0.7157 0.6998
Os 0.8916 0.7832 0.0539
Pa 0.6292 0.2584 0.9437
Pa 0.1316 0.2632 0.6266
Ga 0.5882 0.1764 0.4251

Calculated formation energy: -182 meV/atom
D(E_F): 7.53 states/eV/f.u.
SG: C2/m, No. 12
Crystal system: monoclinic

=====

Compound: Pa7Ga2Os2
Source: Alexandria via LeMat-Bulk
Functional: PBE
Structure: relaxed

abc: 6.5166 6.5456 6.5166
angles: 90.00 103.57 90.00
Element x y z (fractional)
Pa 0.0000 0.2890 0.5000
Pa 0.5000 0.2890 0.0000
Os 0.7224 0.0000 0.2776
Pa 0.5000 0.2841 0.5000
Pa 0.5000 0.7159 0.5000
Pa 0.0000 0.0000 0.0000
Os 0.2776 0.0000 0.7224
Ga 0.8457 0.5000 0.8457
Ga 0.1543 0.5000 0.1543
Pa 0.0000 0.7110 0.5000
Pa 0.5000 0.7110 0.0000

Calculated formation energy: -18 meV/atom
D(E_F): 18.52 states/eV/f.u.
SG: Cmmm, No. 65
Crystal system: orthorhombic

=====

Compound: Pa2Ga3Os
Source: Alexandria via LeMat-Bulk
Functional: PBE
Structure: relaxed

abc: 5.6451 5.6451 8.4169
angles: 104.48 104.48 104.72
Element x y z (fractional)
Os 0.3351 0.3351 0.6702
Pa 0.7339 0.7339 0.0000
Os 0.6649 0.6649 0.3298
Ga 0.3304 0.8360 0.1664
Ga 0.6696 0.1640 0.8336
Pa 0.2500 0.7500 0.5000
Ga 0.1667 0.1667 0.3333
Pa 0.2661 0.2661 0.0000
Ga 0.1640 0.6696 0.8336
Ga 0.8360 0.3304 0.1664
Ga 0.8333 0.8333 0.6667
Pa 0.7500 0.2500 0.5000

Calculated formation energy: -372 meV/atom
D(E_F): 6.51 states/eV/f.u.
SG: Fmmm, No. 69
Crystal system: orthorhombic

=====

Compound: PaGaOs
Source: Alexandria via LeMat-Bulk
Functional: PBE
Structure: relaxed

abc: 3.2850 4.4896 4.4896
angles: 120.00 90.00 90.00
Element x y z (fractional)
Pa 0.6667 0.3333 0.6667
Os 0.1667 0.0000 0.0000
Ga 0.1666 0.6667 0.3333

Calculated formation energy: -347 meV/atom
D(E_F): 3.01 states/eV/f.u.
SG: P-6m2, No. 187
Crystal system: hexagonal

=====

Compound: Pa3Ga3Os2
Source: Alexandria via LeMat-Bulk
Functional: PBE
Structure: relaxed

abc: 5.3329 7.8502 15.5862
angles: 90.00 90.00 90.00
Element x y z (fractional)
Os 0.6262 0.5891 0.1177
Ga 0.3540 0.6779 0.2500
Pa 0.8814 0.5349 0.8900
Pa 0.3814 0.9651 0.1100
Ga 0.1135 0.1908 0.9703
Pa 0.8814 0.5349 0.6100
Ga 0.1135 0.1908 0.5297
Pa 0.3581 0.6698 0.7500
Os 0.1262 0.9109 0.6177
Pa 0.1186 0.4651 0.3900
Pa 0.6186 0.0349 0.8900
Os 0.3738 0.4109 0.8823
Ga 0.8865 0.8092 0.4703
Ga 0.8540 0.8221 0.7500
Ga 0.6135 0.3092 0.0297
Ga 0.6135 0.3092 0.4703
Ga 0.3865 0.6908 0.9703
Pa 0.6186 0.0349 0.6100
Os 0.1262 0.9109 0.8823
Os 0.8738 0.0891 0.3823
Pa 0.1419 0.1698 0.7500
Os 0.3738 0.4109 0.6177
Ga 0.8865 0.8092 0.0297
Ga 0.6460 0.3221 0.7500
Pa 0.8581 0.8302 0.2500
Ga 0.1460 0.1779 0.2500
Os 0.8738 0.0891 0.1177
Pa 0.3814 0.9651 0.3900
Pa 0.6419 0.3302 0.2500
Ga 0.3865 0.6908 0.5297
Pa 0.1186 0.4651 0.1100
Os 0.6262 0.5891 0.3823

Calculated formation energy: -351 meV/atom
D(E_F): 8.39 states/eV/f.u.
SG: Pnma, No. 62
Crystal system: orthorhombic

=====

Compound: PaGa3Os
Source: Alexandria via LeMat-Bulk
Functional: PBE
Structure: relaxed

abc: 6.4467 6.4467 6.4467
angles: 90.00 90.00 90.00
Element x y z (fractional)
Pa 0.5000 0.0000 0.5000
Ga 0.7894 0.2106 0.7894
Ga 0.7894 0.7894 0.7894
Ga 0.7894 0.2106 0.2106
Os 0.0000 0.5000 0.0000
Pa 0.5000 0.5000 0.0000
Ga 0.7894 0.7894 0.2106
Ga 0.2106 0.2106 0.2106
Os 0.0000 0.0000 0.5000
Ga 0.2106 0.7894 0.2106
Pa 0.0000 0.5000 0.5000
Ga 0.2106 0.2106 0.7894
Ga 0.5000 0.5000 0.5000
Os 0.5000 0.0000 0.0000
Ga 0.2106 0.7894 0.7894

Calculated formation energy: -426 meV/atom
D(E_F): 4.09 states/eV/f.u.
SG: Pm-3m, No. 221
Crystal system: cubic

=====

Compound: Pa2Ga8Os
Source: Alexandria via LeMat-Bulk
Functional: PBE
Structure: relaxed

abc: 4.3562 4.3562 11.1069
angles: 90.00 90.00 90.00
Element x y z (fractional)
Ga 0.0000 0.5000 0.5000
Ga 0.5000 0.0000 0.5000
Ga 0.5000 0.0000 0.8791
Ga 0.5000 0.0000 0.1209
Ga 0.5000 0.5000 0.3075
Pa 0.0000 0.0000 0.6949
Pa 0.0000 0.0000 0.3051
Ga 0.0000 0.5000 0.1209
Os 0.0000 0.0000 0.0000
Ga 0.5000 0.5000 0.6925
Ga 0.0000 0.5000 0.8791

Calculated formation energy: -374 meV/atom
D(E_F): 8.69 states/eV/f.u.
SG: P4/mmm, No. 123
Crystal system: tetragonal

=====

Compound: PaGaOs
Source: Alexandria via LeMat-Bulk
Functional: PBE
Structure: relaxed

abc: 3.1535 3.1535 6.0357
angles: 105.14 105.14 90.00
Element x y z (fractional)
Pa 0.3207 0.3207 0.6414
Os 0.6548 0.6548 0.3097
Ga 0.0245 0.0245 0.0489

Calculated formation energy: -283 meV/atom
D(E_F): 2.12 states/eV/f.u.
SG: I4mm, No. 107
Crystal system: tetragonal

=====

Compound: Pa4Ga6Os7
Source: Alexandria via LeMat-Bulk
Functional: PBE
Structure: relaxed

abc: 7.2782 7.2782 7.2782
angles: 109.47 109.47 109.47
Element x y z (fractional)
Pa 0.5000 0.5000 0.5000
Ga 0.0000 0.6926 0.6926
Os 0.5000 0.2500 0.7500
Os 0.2500 0.5000 0.7500
Os 0.2500 0.7500 0.5000
Ga 0.6926 0.6926 0.0000
Ga 0.3074 0.3074 0.0000
Pa 0.5000 0.0000 0.0000
Ga 0.6926 0.0000 0.6926
Os 0.0000 0.0000 0.0000
Ga 0.3074 0.0000 0.3074
Pa 0.0000 0.0000 0.5000
Os 0.7500 0.2500 0.5000
Os 0.5000 0.7500 0.2500
Os 0.7500 0.5000 0.2500
Ga 0.0000 0.3074 0.3074
Pa 0.0000 0.5000 0.0000

Calculated formation energy: -457 meV/atom
D(E_F): 6.44 states/eV/f.u.
SG: Im-3m, No. 229
Crystal system: cubic

=====

Compound: Pa3GaOs5
Source: Alexandria via LeMat-Bulk
Functional: PBE
Structure: relaxed

abc: 5.7266 8.2415 8.2415
angles: 120.00 90.00 90.00
Element x y z (fractional)
Pa 0.7500 0.3569 0.0000
Pa 0.2500 0.6431 0.0000
Pa 0.7500 0.6431 0.6431
Ga 0.5000 0.0000 0.0000
Os 0.2500 0.3065 0.0000
Pa 0.2500 0.3569 0.3569
Os 0.0000 0.6667 0.3333
Pa 0.7500 0.0000 0.3569
Os 0.5000 0.6667 0.3333
Pa 0.2500 0.0000 0.6431
Os 0.7500 0.0000 0.6935
Os 0.7500 0.6935 0.0000
Os 0.7500 0.3065 0.3065
Os 0.0000 0.3333 0.6667
Ga 0.0000 0.0000 0.0000
Os 0.5000 0.3333 0.6667
Os 0.2500 0.6935 0.6935
Os 0.2500 0.0000 0.3065

Calculated formation energy: -75 meV/atom
D(E_F): 8.83 states/eV/f.u.
SG: P6_3/mcm, No. 193
Crystal system: hexagonal

=====

Compound: PaGaReOs
Source: Alexandria via LeMat-Bulk
Functional: PBE
Structure: relaxed

abc: 4.6500 4.6500 4.6500
angles: 60.00 60.00 60.00
Element x y z (fractional)
Re 0.2500 0.2500 0.2500
Ga 0.5000 0.5000 0.5000
Os 0.7500 0.7500 0.7500
Pa 0.0000 0.0000 0.0000

Calculated formation energy: 13 meV/atom
D(E_F): 2.45 states/eV/f.u.
SG: F-43m, No. 216
Crystal system: cubic

=====

Compound: Pa3Ga3Os2Ru
Source: Alexandria via LeMat-Bulk
Functional: PBE
Structure: relaxed

abc: 3.9886 7.0630 7.0630
angles: 120.00 90.00 90.00
Element x y z (fractional)
Pa 0.0000 0.5846 0.5846
Pa 0.0000 0.0000 0.4154
Ga 0.5000 0.2397 0.2397
Ga 0.5000 0.7603 0.0000
Os 0.5000 0.3333 0.6667
Ru 0.0000 0.0000 0.0000
Pa 0.0000 0.4154 0.0000
Ga 0.5000 0.0000 0.7603
Os 0.5000 0.6667 0.3333

Calculated formation energy: -538 meV/atom
D(E_F): 10.96 states/eV/f.u.
SG: P-62m, No. 189
Crystal system: hexagonal

=====

Compound: PaGaOsRu
Source: Alexandria via LeMat-Bulk
Functional: PBE
Structure: relaxed

abc: 4.6383 4.6383 4.6383
angles: 60.00 60.00 60.00
Element x y z (fractional)
Ga 0.5000 0.5000 0.5000
Pa 0.0000 0.0000 0.0000
Ru 0.7500 0.7500 0.7500
Os 0.2500 0.2500 0.2500

Calculated formation energy: -307 meV/atom
D(E_F): 2.37 states/eV/f.u.
SG: F-43m, No. 216
Crystal system: cubic

=====

Compound: ScPaGaOs
Source: Alexandria via LeMat-Bulk
Functional: PBE
Structure: relaxed

abc: 4.7188 4.7188 4.7188
angles: 60.00 60.00 60.00
Site moments in Bohr magnetons follow the coordinates.
Element x y z (fractional)
Ga 0.0000 0.0000 0.0000  0.00
Os 0.7500 0.7500 0.7500  -0.07
Pa 0.5000 0.5000 0.5000  0.61
Sc 0.2500 0.2500 0.2500  0.31

Calculated formation energy: -278 meV/atom
D(E_F): 3.14 states/eV/f.u.
SG: F-43m, No. 216
Crystal system: cubic

=====

Compound: Pa2GaSi3Os4
Source: Alexandria via LeMat-Bulk
Functional: PBE
Structure: relaxed

abc: 4.1479 4.1479 9.9763
angles: 90.00 90.00 90.00
Element x y z (fractional)
Os 0.0000 0.0000 0.0000
Os 0.5000 0.5000 0.0000
Si 0.0000 0.5000 0.1230
Si 0.0000 0.0000 0.5000
Si 0.5000 0.0000 0.8770
Pa 0.0000 0.5000 0.7531
Os 0.0000 0.5000 0.3587
Pa 0.5000 0.0000 0.2469
Os 0.5000 0.0000 0.6413
Ga 0.5000 0.5000 0.5000

Formation energy (no corrections): -12.197 kcal/mol of atoms
D(E_F): 10.96 states/eV/f.u.
SG: P-4m2, No. 115
Crystal system: tetragonal

=====

Compound: SmPaGaOs
Source: Alexandria via LeMat-Bulk
Functional: PBE
Structure: relaxed

abc: 4.9904 4.9904 4.9904
angles: 60.00 60.00 60.00
Element x y z (fractional)
Sm 0.2500 0.2500 0.2500
Ga 0.5000 0.5000 0.5000
Pa 0.7500 0.7500 0.7500
Os 0.0000 0.0000 0.0000

Calculated formation energy: -128 meV/atom
D(E_F): 5.99 states/eV/f.u.
SG: F-43m, No. 216
Crystal system: cubic

=====

Compound: TbPaGaOs
Source: Alexandria via LeMat-Bulk
Functional: PBE
Structure: relaxed

abc: 4.9560 4.9560 4.9560
angles: 60.00 60.00 60.00
Element x y z (fractional)
Tb 0.0000 0.0000 0.0000
Os 0.2500 0.2500 0.2500
Pa 0.5000 0.5000 0.5000
Ga 0.7500 0.7500 0.7500

Calculated formation energy: -192 meV/atom
D(E_F): 5.49 states/eV/f.u.
SG: F-43m, No. 216
Crystal system: cubic

=====

Compound: Pa3Ga3Tc2Os
Source: Alexandria via LeMat-Bulk
Functional: PBE
Structure: relaxed

abc: 4.1062 6.9433 6.9433
angles: 120.00 90.00 90.00
Element x y z (fractional)
Tc 0.5000 0.6667 0.3333
Pa 0.0000 0.5804 0.5804
Ga 0.5000 0.2356 0.2356
Tc 0.5000 0.3333 0.6667
Pa 0.0000 0.4196 0.0000
Pa 0.0000 0.0000 0.4196
Os 0.0000 0.0000 0.0000
Ga 0.5000 0.0000 0.7644
Ga 0.5000 0.7644 0.0000

Calculated formation energy: -419 meV/atom
D(E_F): 10.85 states/eV/f.u.
SG: P-62m, No. 189
Crystal system: hexagonal

=====

no.,VASP energy (eV/f.u.)
1,-60.02
2,-25.00
3,-43.65
4,-95.18
5,-41.53
6,-24.79
7,-62.83
8,-31.94
9,-58.55
10,-24.60
11,-142.52
12,-88.34
13,-36.15
14,-74.15
15,-34.26
16,-31.20
17,-88.50
18,-28.98
19,-29.15
20,-73.30